Density functional theory data (PBE) for K2Ga5Ge3 after structural relaxation.

```
K2Ga5Ge3
1.0
-2.3855 -0.3005 -3.9720
-3.0469 -2.8446 2.0451
-5.9092 8.4229 2.9118
Ga Ge K
5 3 2
direct
0.5000 0.5000 0.0000 Ga
0.5000 0.0000 0.8707 Ga
0.0000 0.5000 0.1293 Ga
0.0000 0.0000 0.0000 Ga
0.5000 0.5000 0.5000 Ga
0.0000 0.5000 0.3745 Ge
0.5000 0.0000 0.6255 Ge
0.0000 0.0000 0.5000 Ge
0.5000 0.0000 0.2519 K
0.0000 0.5000 0.7481 K
```

Output
**Calculated formation energy**: -0.12 eV/atom

=====

Density functional theory data (PBE) for YPaAu after structural relaxation.

```
YPaAu
1.0
3.3488 0.0000 0.0000
0.0000 5.2128 0.0000
-1.6744 0.0000 8.4388
Pa Au Y
2 2 2
direct
0.2404 0.7500 0.4808 Pa
0.7596 0.2500 0.5192 Pa
0.5897 0.7500 0.1794 Au
0.4103 0.2500 0.8206 Au
0.0730 0.2500 0.1459 Y
0.9270 0.7500 0.8541 Y
```

Output
**Calculated formation energy**: -0.40 eV/atom

=====

Density functional theory data (PBE) for CsPdSe2Br after structural relaxation.

```
CsPdSe2Br
1.0
-5.0668 3.0228 -1.3270
-2.6807 -5.1860 -1.5779
-2.1333 -0.8125 6.2947
Cs Br Se Pd
1 1 2 1
direct
0.0000 0.0000 0.0000 Cs
0.0000 0.0000 0.5000 Br
0.5000 0.0000 0.0000 Se
0.0000 0.5000 0.0000 Se
0.5000 0.5000 0.5000 Pd
```

Output
**Energy relative to the lowest polymorph listed for this composition**: 1465 meV/atom
**E_form (uncorrected)**: 1.054 eV/atom

=====

Density functional theory data (PBE) for K2SrBiP after structural relaxation.

```
K2SrBiP
1.0
-1.3519 -5.1807 2.9015
0.5018 -2.8396 -4.8363
5.9130 -0.9026 1.1435
K P Sr Bi
2 1 1 1
direct
0.5000 0.0000 0.0000 K
0.0000 0.0000 0.5000 K
0.0000 0.0000 0.0000 P
0.5000 0.5000 0.5000 Sr
0.0000 0.5000 0.0000 Bi
```

Output
**Calculated formation energy**: 0.02 eV/atom

=====

Density functional theory data (PBE) for Li2TlPt after structural relaxation.

```
Li2TlPt
1.0
-2.0688 2.5979 -2.2174
1.6884 -1.4757 -3.3042
-7.2170 -5.7090 -3.5509
Li Tl Pt
4 2 2
direct
0.8750 0.8391 0.7500 Li
0.5891 0.1250 0.2500 Li
0.1609 0.6250 0.2500 Li
0.3750 0.4109 0.7500 Li
0.7500 0.2500 0.5000 Tl
0.0000 0.0000 0.0000 Tl
0.5000 0.5000 0.0000 Pt
0.2500 0.7500 0.5000 Pt
```

Output
**Calculated formation energy**: -0.17 eV/atom

=====

Density functional theory data (PBE) for Ba6Pt2AuBr after structural relaxation.

```
Ba6Pt2AuBr
1.0
-1.2475 -6.6849 -4.4319
5.6842 -5.7849 -0.3066
-1.6720 -7.5698 4.4610
Br Ba Pt Au
1 6 2 1
direct
0.8198 0.8197 0.5408 Br
0.8962 0.6132 0.2382 Ba
0.2521 0.8962 0.2386 Ba
0.3871 0.7414 0.7517 Ba
0.6131 0.2524 0.2383 Ba
0.1202 0.3869 0.7514 Ba
0.7413 0.1200 0.7516 Ba
0.5046 0.5045 0.4866 Pt
0.0049 0.0048 0.9855 Pt
0.3223 0.3224 0.0326 Au
```

Output
**E_form (uncorrected)**: -0.819 eV/atom

=====

Density functional theory data (PBE) for BaPtW2 after structural relaxation.

```
BaPtW2
1.0
-1.0892 -0.4856 2.6030
-1.2754 -2.3703 -0.9760
8.0358 -5.3011 2.3738
Pt W Ba
1 2 1
direct
0.5000 0.5000 0.7500 Pt
0.0000 0.0000 0.5498 W
0.0000 0.0000 0.9502 W
0.5000 0.5000 0.2500 Ba
```

Output
**Calculated formation energy**: 0.88 eV/atom
**Energy relative to the lowest polymorph listed for this composition**: 458 meV/atom

=====

Density functional theory data (PBE) for Dy2HoIrO8 after structural relaxation.

```
Dy2HoIrO8
1.0
-0.6068 2.9484 4.0402
-0.5216 -4.1134 2.8536
6.6795 -0.1002 1.0764
O Dy Ho Ir
8 2 1 1
direct
0.1825 0.8165 0.7880 O
0.2693 0.2684 0.0000 O
0.6930 0.6937 0.5000 O
0.8175 0.1835 0.7880 O
0.7307 0.7316 0.0000 O
0.1825 0.8165 0.2120 O
0.8175 0.1835 0.2120 O
0.3070 0.3063 0.5000 O
0.5000 0.5000 0.2522 Dy
0.5000 0.5000 0.7478 Dy
0.0000 0.0000 0.5000 Ho
0.0000 0.0000 0.0000 Ir
```

Output
**E_form (uncorrected)**: -2.366 eV/atom

=====

Density functional theory data (PBE) for HoBS after structural relaxation.

```
HoBS
1.0
3.7496 -0.0723 0.1198
-0.0905 3.7492 0.1198
-1.6391 -1.6471 7.8600
S Ho B
2 2 2
direct
0.2773 0.2773 0.1940 S
0.7227 0.7227 0.8060 S
0.8166 0.8166 0.3104 Ho
0.1834 0.1834 0.6896 Ho
0.3503 0.3503 0.4358 B
0.6497 0.6497 0.5642 B
```

Output
**Energy relative to the lowest polymorph listed for this composition**: 0 meV/atom
**E_form (uncorrected)**: -0.894 eV/atom

=====

Density functional theory data (PBE) for Pu2ZnBi after structural relaxation.

```
Pu2ZnBi
1.0
4.4221 0.0000 0.0000
0.0000 4.8320 0.0000
0.0000 0.0000 4.8320
Pu Bi Zn
2 1 1
direct
0.0000 0.5000 0.0000 Pu
0.0000 0.0000 0.5000 Pu
0.5000 0.5000 0.5000 Bi
0.5000 0.0000 0.0000 Zn
```

Output
**Calculated formation energy**: -0.20 eV/atom
**Energy relative to the lowest polymorph listed for this composition**: 0 meV/atom

=====

Density functional theory data (PBE) for AlCu2TeN after structural relaxation.

```
AlCu2TeN
1.0
4.4114 0.0000 0.0000
0.0000 3.7688 0.0000
0.0000 0.0000 4.4114
Cu N Al Te
2 1 1 1
direct
0.5000 0.0000 0.0000 Cu
0.0000 0.0000 0.5000 Cu
0.0000 0.0000 0.0000 N
0.0000 0.5000 0.0000 Al
0.5000 0.5000 0.5000 Te
```

Output
**E_form (uncorrected)**: 0.132 eV/atom

=====

Density functional theory data (PBE) for Nd3Dy4Ho2 after structural relaxation.

```
Nd3Dy4Ho2
1.0
6.1466 -0.2931 -0.7383
-3.3021 4.1934 -3.1661
-1.6435 -0.8087 12.7851
Ho Dy Nd
2 4 3
direct
0.7791 0.5568 0.3337 Ho
0.2209 0.4432 0.6663 Ho
0.6648 0.3322 0.9999 Dy
0.1104 0.2206 0.3332 Dy
0.3352 0.6678 0.0001 Dy
0.8896 0.7794 0.6668 Dy
0.4458 0.8899 0.3335 Nd
0.5542 0.1101 0.6665 Nd
0.0000 0.0000 0.0000 Nd
```

Output
**Calculated formation energy**: 0.02 eV/atom
**Energy relative to the lowest polymorph listed for this composition**: 0 meV/atom

=====

Density functional theory data (PBE) for SrB2Br8 after structural relaxation.

```
SrB2Br8
1.0
6.3504 0.5147 0.3906
0.7114 8.3138 -0.2622
0.7114 1.9861 8.0773
Br Sr B
8 1 2
direct
0.8393 0.6457 0.6457 Br
0.2585 0.2892 0.9679 Br
0.1607 0.3543 0.3543 Br
0.6479 0.2088 0.2088 Br
0.7415 0.7108 0.0321 Br
0.3521 0.7912 0.7912 Br
0.2585 0.9679 0.2892 Br
0.7415 0.0321 0.7108 Br
0.0000 0.0000 0.0000 Sr
0.3267 0.2073 0.2073 B
0.6733 0.7927 0.7927 B
```

Output
**Energy relative to the lowest polymorph listed for this composition**: 30 meV/atom
**E_form (uncorrected)**: -0.887 eV/atom

=====

Density functional theory data (PBE) for Co2HgOs after structural relaxation.

```
Co2HgOs
1.0
-4.2048 -0.1387 2.3728
-2.8356 -3.6543 -1.3912
4.6203 0.3354 1.3674
Hg Co Os
1 2 1
direct
0.5000 0.5000 0.0000 Hg
0.2500 0.7500 0.5000 Co
0.0000 0.0000 0.0000 Co
0.7500 0.2500 0.5000 Os
```

Output
**Calculated formation energy**: 0.68 eV/atom

=====

Density functional theory data (PBE) for Tb2PuAl9 after structural relaxation.

```
Tb2PuAl9
1.0
5.3143 0.0000 1.5816
2.4218 4.7304 1.5816
0.0997 0.0609 9.3840
Al Tb Pu
9 2 1
direct
0.3347 0.3347 0.9958 Al
0.9227 0.4139 0.2495 Al
0.4139 0.4139 0.2495 Al
0.4139 0.9227 0.2495 Al
0.5861 0.0773 0.7505 Al
0.6653 0.6653 0.0042 Al
0.5861 0.5861 0.7505 Al
0.5000 0.5000 0.5000 Al
0.0773 0.5861 0.7505 Al
0.8595 0.8595 0.4214 Tb
0.1405 0.1405 0.5786 Tb
0.0000 0.0000 0.0000 Pu
```

Output
**Calculated formation energy**: -0.35 eV/atom

=====

Density functional theory data (PBE) for CsMg2Hg after structural relaxation.

```
CsMg2Hg
1.0
6.2768 0.0000 0.0000
0.0000 6.2768 0.0000
3.1384 3.1384 9.2837
Hg Mg Cs
2 4 2
direct
0.7500 0.2500 0.5000 Hg
0.0000 0.0000 0.0000 Hg
0.8752 0.6250 0.2500 Mg
0.8750 0.1248 0.7500 Mg
0.8748 0.1250 0.2500 Mg
0.3750 0.1252 0.7500 Mg
0.2500 0.7500 0.5000 Cs
0.5000 0.5000 0.0000 Cs
```

Output
**Calculated formation energy**: 0.11 eV/atom

=====

Density functional theory data (PBE) for BeCoB after structural relaxation.

```
BeCoB
1.0
-0.4774 -1.0634 -2.2695
0.1122 -2.3171 1.0620
-3.2646 1.8265 1.2651
Co B Be
1 1 1
direct
0.9383 0.9383 0.8766 Co
0.2835 0.2835 0.5671 B
0.6282 0.6282 0.2563 Be
```

Output
**Calculated formation energy**: -0.15 eV/atom
**Energy relative to the lowest polymorph listed for this composition**: 102 meV/atom

=====

Density functional theory data (PBE) for Nd4BiSb2Se after structural relaxation.

```
Nd4BiSb2Se
1.0
-3.8454 2.2642 -0.4762
-3.0261 -5.9648 -3.9255
-3.4753 -4.8604 4.9539
Se Sb Nd Bi
1 2 4 1
direct
0.0000 0.5000 0.5000 Se
0.5000 0.0000 0.5000 Sb
0.0000 0.0000 0.0000 Sb
0.0000 0.2488 0.2567 Nd
0.5000 0.7479 0.2561 Nd
0.0000 0.7512 0.7433 Nd
0.5000 0.2521 0.7439 Nd
0.5000 0.5000 0.0000 Bi
```

Output
**E_form (uncorrected)**: -1.292 eV/atom